# 1
A relaxed Zn2FeNi crystal, computed with PBE.

a = 4.5292 Å, b = 4.5292 Å, c = 4.5099 Å
α = 100.57°, β = 100.57°, γ = 33.55°
Last column: nearest neighbours and their distance in Å.
Fractional positions:
1 Zn 0.0000 0.0000 0.0000  4 Ni 2.56-2.65, 5 Zn 2.60-2.67, 3 Fe 2.61-2.62
2 Zn 0.2420 0.2420 0.7365  4 Fe 2.56-2.65, 3 Ni 2.58-2.64, 5 Zn 2.60-2.67
3 Fe 0.7525 0.7525 0.2523  3 Ni 2.52-2.66, 7 Zn 2.56-2.65, 2 Fe 2.61
4 Ni 0.4939 0.4939 0.4865  3 Fe 2.52-2.66, 7 Zn 2.56-2.65, 2 Ni 2.61

Output
Calculated volume (Å³/cell): 50
Energy relative to the elements (eV per atom): -0.031
Magnetic moment (μB/f.u.): 2.63

# 2
A relaxed ZnPb2Se crystal, computed with PBE.

a = 5.2866 Å, b = 5.2866 Å, c = 5.2866 Å
α = 60.00°, β = 60.00°, γ = 60.00°
Last column: nearest neighbours and their distance in Å.
Fractional positions:
1 Zn 0.0000 0.0000 0.0000  4 Se 3.24, 4 Pb 3.24
2 Pb 0.2500 0.2500 0.2500  4 Pb 3.24, 4 Zn 3.24
3 Pb 0.5000 0.5000 0.5000  4 Pb 3.24, 4 Se 3.24
4 Se 0.7500 0.7500 0.7500  4 Pb 3.24, 4 Zn 3.24

Output
Calculated volume (Å³/cell): 104
Energy relative to the elements, uncorrected (eV per atom): 0.146
Energy above the most stable polymorph in this dataset (eV/f.u.): 1.20
Magnetic moment (μB/f.u.): 0.00

# 3
A relaxed LaPmAg4 crystal, computed with PBE.

a = 4.8606 Å, b = 4.8606 Å, c = 7.0968 Å
α = 90.06°, β = 90.06°, γ = 120.10°
Last column: nearest neighbours and their distance in Å.
Fractional positions:
1 La 0.0000 0.0000 0.0000  12 Ag 3.37-3.38, 2 Pm 3.55
2 Pm 0.0000 0.0000 0.5000  12 Ag 3.26-3.27, 2 La 3.55
3 Ag 0.3334 0.6665 0.2652  3 Ag 2.80-2.81
4 Ag 0.3335 0.6666 0.7348  3 Ag 2.80-2.81
5 Ag 0.6665 0.3334 0.2652  3 Ag 2.80-2.81
6 Ag 0.6666 0.3335 0.7348  3 Ag 2.80-2.81

Output
Calculated volume (Å³/cell): 145
Energy relative to the elements (eV per atom): -0.271
Energy above the most stable polymorph in this dataset (eV/f.u.): 0.00
Magnetic moment (μB/f.u.): 0.00

# 4
A relaxed RbLiCl crystal, computed with PBE.

a = 4.1382 Å, b = 7.0625 Å, c = 8.5155 Å
α = 69.59°, β = 76.09°, γ = 89.99°
Last column: nearest neighbours and their distance in Å.
Fractional positions:
1 Rb 0.0000 0.0000 0.0000  4 Cl 3.38-3.41
2 Rb 0.2802 0.2688 0.4383  4 Cl 3.51-3.60
3 Li 0.5540 0.5390 0.8947  1 Cl 2.39
4 Li 0.7473 0.7439 0.5072  3 Cl 2.35-2.41
5 Cl 0.3258 0.8061 0.3482  2 Li 2.41
6 Cl 0.6398 0.8916 0.7207  2 Li 2.35-2.39

Output
Calculated volume (Å³/cell): 225
Energy relative to the elements, uncorrected (eV per atom): -1.094
Energy above the most stable polymorph in this dataset (eV/f.u.): 0.09
Magnetic moment (μB/f.u.): 0.00

# 5
A relaxed ZrAlRh4 crystal, computed with PBE.

a = 5.1505 Å, b = 5.1505 Å, c = 5.1505 Å
α = 60.00°, β = 60.00°, γ = 60.00°
Last column: nearest neighbours and their distance in Å.
Fractional positions:
1 Zr 0.0000 0.0000 0.0000  12 Rh 3.02, 4 Al 3.15
2 Al 0.7500 0.7500 0.7500  12 Rh 3.02, 4 Zr 3.15
3 Rh 0.3758 0.3758 0.3758  6 Rh 2.56-2.59
4 Rh 0.3758 0.3758 0.8725  6 Rh 2.56-2.59
5 Rh 0.3758 0.8725 0.3758  6 Rh 2.56-2.59
6 Rh 0.8725 0.3758 0.3758  6 Rh 2.56-2.59

Output
Calculated volume (Å³/cell): 97
Energy relative to the elements (eV per atom): -0.483
Magnetic moment (μB/f.u.): 0.00

no.,E_tot (eV per atom)
1,-4.229
2,-2.898
3,-3.785
4,-2.670
5,-7.432